Computed, not measured: a relaxed structure of Sr2Li2Pd3 at the PBE level of DFT.

Lattice parameters (Å, degrees): 4.392 5.767 7.363 115.91 90.00 112.39
Positions (direct):
Sr: 0.842 0.685 0.243
Sr: 0.158 0.315 0.757
Li: 0.872 0.744 0.751
Li: 0.128 0.256 0.249
Pd: 0.500 0.000 0.000
Pd: 0.597 0.195 0.422
Pd: 0.403 0.805 0.578

## Properties
Density in g/cm³: 5.6
Size of the total moment in μB per cell: 0.00
Formation enthalpy at 0 K in meV/atom: -435.0
SG: C2/m, No. 12
V in Å³/cell: 152.0